VASP calculation (PBE+U) on an optimized crystal structure of KDyVF6.

Properties
* space group: No. 163
* electronic total energy: -6.05 eV/atom

Lattice parameters (Å, degrees): 5.839 5.839 11.027 90.00 90.00 120.00
Each line ends with the local moment (μB).
Atoms (fractional coordinates):
F 0.366 0.992 0.147  0.01
F 0.008 0.374 0.147  0.01
F 0.626 0.634 0.147  0.01
V 0.667 0.333 0.750  2.76
V 0.333 0.667 0.250  2.76
F 0.626 0.992 0.353  0.01
F 0.992 0.626 0.853  0.01
F 0.634 0.008 0.853  0.01
F 0.366 0.374 0.353  0.01
F 0.634 0.626 0.647  0.01
Dy 0.333 0.667 0.750  0.00
Dy 0.667 0.333 0.250  0.00
K 0.000 0.000 0.000  0.00
F 0.008 0.634 0.353  0.01
F 0.992 0.366 0.647  0.01
F 0.374 0.008 0.647  0.01
K 0.000 0.000 0.500  0.00
F 0.374 0.366 0.853  0.01